# 1
Below is a relaxed TaInFe2 crystal, with properties calculated at the PBE-GGA level.

## Properties
Calculated volume: 15.33 A^3/atom
Formation enthalpy at 0 K: 0.1606 eV per atom

Unit cell a=9.813 b=3.040 c=4.461 alpha=90.00 beta=112.83 gamma=90.00
Space group Cm (No. 8)
Symmetry-distinct sites (fractional):
Ta  0.000  0.000  0.000 x2
In  0.278  0.500  0.304 x2
Fe  0.033  0.500  0.533 x2
Fe  0.244  0.000  0.772 x2

***

# 2
Below is a relaxed TlAgSb2 crystal, with properties calculated at the PBE-GGA level.

## Properties
ΔE_f (raw): 0.19 eV per atom
Calculated volume: 26.69 A^3/atom

Unit cell a=6.176 b=10.594 c=3.273 alpha=90.00 beta=94.50 gamma=90.00
Space group C2/m (No. 12)
Symmetry-distinct sites (fractional):
Tl  0.000  0.000  0.000 x2
Ag  0.000  0.500  0.000 x2
Sb  0.250  0.250  0.500 x4

***

# 3
Below is a relaxed NaCu3Te2 crystal, with properties calculated at the PBE-GGA level.

## Properties
ΔE_f (raw): -0.23 eV per atom
Calculated volume: 21.12 A^3/atom
Excess energy over the best structure of this formula in the dataset: 27 meV/atom

Unit cell a=4.2849 b=4.2849 c=23.9139 alpha=90.00 beta=90.00 gamma=120.00
Space group R3m (No. 160, hexagonal axes)
Symmetry-distinct sites (fractional):
Na  0.0000  0.0000  0.0000 x3
Cu  0.0000  0.0000  0.1334 x3
Cu  0.0000  0.0000  0.4990 x3
Cu  0.0000  0.0000  0.8672 x3
Te  0.0000  0.0000  0.2462 x3
Te  0.0000  0.0000  0.7542 x3